(1)
{
  "formula": "Ta2BPS",
  "functional": "PBE",
  "state": "optimized geometry",
  "formation_energy_uncorrected_ev_per_atom": 1.447,
  "lattice": [[4.669, 0.000, 0.000], [0.000, 4.669, 0.000], [0.000, 0.000, 4.076]],
  "species": ["Ta", "Ta", "B", "P", "S"],
  "fractional_positions": [[0.000, 0.500, 0.000], [0.500, 0.000, 0.000], [0.000, 0.000, 0.500], [0.500, 0.500, 0.000], [0.500, 0.500, 0.500]]
}

=====

(2)
{
  "formula": "TcBP2S",
  "functional": "PBE",
  "state": "optimized geometry",
  "formation_energy_uncorrected_ev_per_atom": 1.337,
  "relative_energy_ev_per_fu": 2.120,
  "lattice": [[4.492, 0.000, 0.000], [0.000, 4.492, 0.000], [0.000, 0.000, 5.003]],
  "species": ["Tc", "B", "P", "P", "S"],
  "fractional_positions": [[0.000, 0.000, 0.000], [0.500, 0.500, 0.500], [0.000, 0.500, 0.000], [0.500, 0.000, 0.000], [0.000, 0.000, 0.500]]
}

=====

(3)
{
  "formula": "TcBP2S",
  "functional": "PBE",
  "state": "optimized geometry",
  "formation_energy_uncorrected_ev_per_atom": 0.913,
  "relative_energy_ev_per_fu": 0.000,
  "lattice": [[3.974, 0.000, 0.000], [0.000, 3.974, 0.000], [0.000, 0.000, 4.250]],
  "species": ["Tc", "B", "P", "P", "S"],
  "fractional_positions": [[0.000, 0.000, 0.000], [0.500, 0.500, 0.500], [0.000, 0.500, 0.500], [0.500, 0.000, 0.500], [0.500, 0.500, 0.000]]
}